Record 1
A plane-wave DFT calculation with PBE was carried out for crystalline MnIrOs2Au at its relaxed geometry.

Cell: 4.7593 4.8136 4.7593 Å, 90.00 90.00 90.00°
Last column: nearest neighbours and their distance in Å.
Fractional positions:
1 Os 0.0000 0.0000 0.5000  2 Au 2.38
2 Os 0.5000 0.0000 0.0000  2 Au 2.38
3 Ir 0.0000 0.5000 0.0000  2 Au 2.41
4 Au 0.0000 0.0000 0.0000  4 Os 2.38, 2 Ir 2.41
5 Mn 0.5000 0.5000 0.5000  4 Ir 3.37, 8 Os 3.38

Computed properties:
Its total magnetization is 0.14 Bohr magnetons per cell. Its space group is No. 123. As for the formation energy: 3.2725 eV/atom.


Record 2
A plane-wave DFT calculation with PBE was carried out for crystalline MnIr2PtAu at its relaxed geometry.

Cell: 4.4234 4.6373 4.4234 Å, 90.00 90.00 90.00°
Last column: nearest neighbours and their distance in Å.
Fractional positions:
1 Mn 0.0000 0.0000 0.0000  4 Ir 2.21, 2 Pt 2.32
2 Ir 0.0000 0.0000 0.5000  2 Mn 2.21
3 Ir 0.5000 0.0000 0.0000  2 Mn 2.21
4 Au 0.5000 0.5000 0.5000  4 Pt 3.13, 8 Ir 3.20
5 Pt 0.0000 0.5000 0.0000  2 Mn 2.32

Computed properties:
Its total magnetization is 0.83 Bohr magnetons per cell. Its space group is No. 123. As for the formation energy: 1.2154 eV/atom.


Record 3
A plane-wave DFT calculation with PBE was carried out for crystalline MnReIr2Au at its relaxed geometry.

Cell: 4.7330 4.5819 4.7330 Å, 90.00 90.00 90.00°
Last column: nearest neighbours and their distance in Å.
Fractional positions:
1 Re 0.0000 0.0000 0.0000  2 Mn 2.29, 4 Ir 2.37
2 Ir 0.0000 0.0000 0.5000  2 Re 2.37
3 Ir 0.5000 0.0000 0.0000  2 Re 2.37
4 Au 0.5000 0.5000 0.5000  8 Ir 3.29, 4 Mn 3.35
5 Mn 0.0000 0.5000 0.0000  2 Re 2.29

Computed properties:
Its total magnetization is 3.10 Bohr magnetons per cell. Its space group is No. 123. As for the formation energy: 1.4723 eV/atom.


Record 4
A plane-wave DFT calculation with PBE was carried out for crystalline ScMnIrAu at its relaxed geometry.

Cell: 4.5651 4.5651 4.5651 Å, 60.00 60.00 60.00°
Last column: nearest neighbours and their distance in Å.
Fractional positions:
1 Sc 0.5000 0.5000 0.5000  4 Ir 2.80, 4 Au 2.80
2 Ir 0.2500 0.2500 0.2500  4 Mn 2.80, 4 Sc 2.80
3 Au 0.7500 0.7500 0.7500  4 Mn 2.80, 4 Sc 2.80
4 Mn 0.0000 0.0000 0.0000  4 Au 2.80, 4 Ir 2.80

Computed properties:
Its total magnetization is 4.45 Bohr magnetons per cell. Its space group is No. 216. As for the formation energy: -0.4367 eV/atom.